(1)
Hg2PbBr | PBE-GGA | optimized geometry

Excess energy over the best structure of this formula in the dataset (meV per atom): 37
Crystal system: tetragonal
E_form (uncorrected) (meV/atom): -174
Electronic total energy (eV per atom): -1.670

Structure (POSCAR):
```
Hg2PbBr
1.0
4.033 0.000 0.000
0.000 4.033 0.000
0.000 0.000 7.141
Hg Pb Br
2 1 1
direct
0.000 0.000 0.000 Hg
0.500 0.500 0.240 Hg
0.000 0.000 0.458 Pb
0.500 0.500 0.730 Br
```



(2)
NaSc2Mo2 | PBE-GGA | optimized geometry

ΔH_f (0 K) (eV/f.u.): 2.6
Excess energy over the best structure of this formula in the dataset (meV per atom): 53
Crystal system: tetragonal
Electronic total energy (eV per atom): -6.616

Structure (POSCAR):
```
NaSc2Mo2
1.0
-1.847 1.847 8.948
1.847 -1.847 8.948
1.847 1.847 -8.948
Na Sc Mo
1 2 2
direct
0.000 0.000 0.000 Na
0.372 0.372 0.000 Sc
0.628 0.628 0.000 Sc
0.250 0.750 0.500 Mo
0.750 0.250 0.500 Mo
```